[1]
A geometry-optimized Mg2TlMoW structure. Source: the Alexandria database, functional PBE.

Geometry as extended XYZ:
```
5
Lattice="-5.060 1.066 1.331 -0.461 -4.254 1.655 1.619 1.692 4.798" Properties=species:S:1:pos:R:3 pbc="T T T"
Mg -2.530 0.533 0.666
Mg 0.809 0.846 2.399
W -0.231 -2.127 0.828
Mo 0.000 0.000 0.000
Tl -1.951 -0.748 3.892
```

Values from the calculation:
As for the density of states at the Fermi level: 3.9 states/eV/f.u. Its space group is P4/mmm. As for the formation energy: 5.867 eV per formula unit. The total moment is 0.0 μB/f.u.

[2]
A geometry-optimized YMgTlMo2 structure. Source: the Alexandria database, functional PBE.

Geometry as extended XYZ:
```
5
Lattice="5.160 0.000 0.000 0.000 4.894 0.000 0.000 0.000 5.160" Properties=species:S:1:pos:R:3 pbc="T T T"
Tl 0.000 0.000 0.000
Y 2.580 2.447 2.580
Mo 2.580 0.000 0.000
Mo 0.000 0.000 2.580
Mg 0.000 2.447 0.000
```

Values from the calculation:
As for the density of states at the Fermi level: 6.7 states/eV/f.u. Its space group is P4/mmm. As for the formation energy: 7.475 eV per formula unit. The total moment is 0.2 μB/f.u.

[3]
A geometry-optimized Mg6VMo structure. Source: the Alexandria database, functional PBE.

Geometry as extended XYZ:
```
8
Lattice="3.333 3.807 3.551 -4.892 -3.183 2.036 2.956 -3.748 1.243" Properties=species:S:1:pos:R:3 pbc="T T T"
Mg -3.397 -1.913 2.311
Mg 0.713 1.580 3.068
Mg -1.858 -0.129 4.031
Mg 1.717 -1.185 2.132
Mg 0.937 -0.873 4.929
Mg -1.096 -0.434 1.299
V 3.402 0.735 3.913
Mo -0.738 -2.784 3.150
```

Values from the calculation:
As for the density of states at the Fermi level: 6.0 states/eV/f.u. Its space group is Amm2. As for the formation energy: 2.489 eV per formula unit. The total moment is 1.7 μB/f.u. Its energy above the most stable polymorph in this dataset is 72 meV/atom.

[4]
A geometry-optimized Mg3VMo structure. Source: the Alexandria database, functional PBE.

Geometry as extended XYZ:
```
5
Lattice="5.095 0.000 0.000 0.000 5.095 0.000 0.000 0.000 5.095" Properties=species:S:1:pos:R:3 pbc="T T T"
Mg 2.547 0.000 0.000
Mg 0.000 2.547 0.000
Mg 0.000 0.000 2.547
Mo 0.000 0.000 0.000
V 2.547 2.547 2.547
```

Values from the calculation:
As for the density of states at the Fermi level: 7.8 states/eV/f.u. Its space group is Pm-3m. As for the formation energy: 7.157 eV per formula unit. The total moment is 1.6 μB/f.u. Its energy above the most stable polymorph in this dataset is 0 meV/atom.

What did the third record say?
A geometry-optimized Mg6VMo structure. Source: the Alexandria database, functional PBE.

Geometry as extended XYZ:
```
8
Lattice="3.333 3.807 3.551 -4.892 -3.183 2.036 2.956 -3.748 1.243" Properties=species:S:1:pos:R:3 pbc="T T T"
Mg -3.397 -1.913 2.311
Mg 0.713 1.580 3.068
Mg -1.858 -0.129 4.031
Mg 1.717 -1.185 2.132
Mg 0.937 -0.873 4.929
Mg -1.096 -0.434 1.299
V 3.402 0.735 3.913
Mo -0.738 -2.784 3.150
```

Values from the calculation:
As for the density of states at the Fermi level: 6.0 states/eV/f.u. Its space group is Amm2. As for the formation energy: 2.489 eV per formula unit. The total moment is 1.7 μB/f.u. Its energy above the most stable polymorph in this dataset is 72 meV/atom.